Record 1
{"formula": "Ba4Ag5Rh2", "functional": "PBE", "state": "optimized geometry", "lattice_angstrom": [[7.577, 0.000, 0.000], [0.000, 4.701, 0.000], [-0.441, 0.000, 8.935]], "species": ["Ba", "Ba", "Ba", "Ba", "Ag", "Ag", "Ag", "Ag", "Ag", "Rh", "Rh"], "fractional_positions": [[0.216, 0.000, 0.358], [0.236, 0.000, 0.905], [0.764, 0.000, 0.095], [0.784, 0.000, 0.642], [0.154, 0.500, 0.633], [0.447, 0.500, 0.165], [0.500, 0.500, 0.500], [0.553, 0.500, 0.835], [0.846, 0.500, 0.367], [0.075, 0.500, 0.133], [0.925, 0.500, 0.867]]}

***

Record 2
{"formula": "BaAg2Rh2", "functional": "PBE", "state": "optimized geometry", "e_above_lowest_polymorph_kj_per_mol_fu": 30, "lattice_angstrom": [[7.970, 0.000, 0.000], [0.000, 7.970, 0.000], [0.000, 0.000, 3.190]], "species": ["Ba", "Ba", "Ag", "Ag", "Ag", "Ag", "Rh", "Rh", "Rh", "Rh"], "fractional_positions": [[0.000, 0.000, 0.000], [0.500, 0.500, 0.000], [0.173, 0.327, 0.500], [0.327, 0.827, 0.500], [0.673, 0.173, 0.500], [0.827, 0.673, 0.500], [0.118, 0.618, 0.000], [0.382, 0.118, 0.000], [0.618, 0.882, 0.000], [0.882, 0.382, 0.000]]}

***

Density of states at the Fermi level: 0.550 0.787 (states/eV/atom)
Total DFT energy (no corrections): -3.483 -4.260 (eV/atom)